Compound: Ta2MnRh
Source: Alexandria via LeMat-Bulk
Functional: GGA-PBE
Structure: optimized geometry

a b c (Å): 5.2426 5.2426 5.2426
angles (deg): 144.40 131.60 61.51
Last column: nearest neighbours and their distance in Å.
Positions (direct):
Mn: 0.5162 0.5162 0.0000  6 Ta 2.56-2.69
Rh: 0.2478 0.7478 0.5000  6 Ta 2.68-2.77, 4 Mn 2.90-3.00
Ta: 0.9975 0.9975 0.0000  4 Mn 2.69, 2 Rh 2.77, 2 Ta 2.83
Ta: 0.7384 0.2384 0.5000  2 Mn 2.56, 4 Rh 2.68, 2 Ta 2.83

Properties
**DOS at the Fermi energy**: 2.9 states/eV per cell
**Uncorrected energy**: -10.217 eV per atom

---

Compound: Ta2MnRh
Source: Alexandria via LeMat-Bulk
Functional: GGA-PBE
Structure: optimized geometry

a b c (Å): 5.0117 5.0117 5.0117
angles (deg): 139.29 128.64 67.52
Last column: nearest neighbours and their distance in Å.
Positions (direct):
Mn: 0.7500 0.2500 0.5000  8 Ta 2.72-3.01, 4 Rh 2.79
Rh: 0.2500 0.7500 0.5000  8 Ta 2.71-3.01, 4 Mn 2.79
Ta: 0.0006 0.0006 0.0000  4 Rh 2.71-3.01, 4 Mn 2.72-3.01, 4 Ta 2.79
Ta: 0.4994 0.4994 0.0000  4 Rh 2.71-3.01, 4 Mn 2.72-3.01, 4 Ta 2.79

Properties
**DOS at the Fermi energy**: 3.2 states/eV per cell
**Uncorrected energy**: -10.218 eV per atom

---

Compound: Ta2MnRh
Source: Alexandria via LeMat-Bulk
Functional: GGA-PBE
Structure: optimized geometry

a b c (Å): 9.1704 9.1704 9.1704
angles (deg): 18.13 18.13 18.13
Last column: nearest neighbours and their distance in Å.
Positions (direct):
Mn: 0.4972 0.4972 0.4972  3 Rh 2.69, 3 Ta 2.76, 6 Mn 2.89
Rh: 0.7524 0.7524 0.7524  3 Mn 2.69, 3 Ta 2.74, 6 Rh 2.89
Ta: 0.0055 0.0055 0.0055  3 Rh 2.74, 9 Ta 2.89-3.04
Ta: 0.2449 0.2449 0.2449  3 Mn 2.76, 9 Ta 2.89-3.04

Properties
**DOS at the Fermi energy**: 3.7 states/eV per cell
**Uncorrected energy**: -10.011 eV per atom

---

Compound: TaMn2Rh2
Source: Alexandria via LeMat-Bulk
Functional: GGA-PBE
Structure: optimized geometry

a b c (Å): 7.2084 7.2084 2.8594
angles (deg): 90.00 90.00 90.00
Last column: nearest neighbours and their distance in Å.
Positions (direct):
Mn: 0.1624 0.6624 0.5000  6 Rh 2.51-2.58
Mn: 0.6624 0.8376 0.5000  6 Rh 2.51-2.58
Mn: 0.8376 0.3376 0.5000  6 Rh 2.51-2.58
Mn: 0.3376 0.1624 0.5000  6 Rh 2.51-2.58
Rh: 0.3650 0.8650 0.0000  6 Mn 2.51-2.58, 1 Rh 2.75, 2 Ta 2.81
Rh: 0.8650 0.6350 0.0000  6 Mn 2.51-2.58, 1 Rh 2.75, 2 Ta 2.81
Rh: 0.6350 0.1350 0.0000  6 Mn 2.51-2.58, 1 Rh 2.75, 2 Ta 2.81
Rh: 0.1350 0.3650 0.0000  6 Mn 2.51-2.58, 1 Rh 2.75, 2 Ta 2.81
Ta: 0.0000 0.0000 0.0000  4 Rh 2.81, 2 Ta 2.86, 8 Mn 3.06
Ta: 0.5000 0.5000 0.0000  4 Rh 2.81, 2 Ta 2.86, 8 Mn 3.06

Properties
**DOS at the Fermi energy**: 8.4 states/eV per cell
**Uncorrected energy**: -9.010 eV per atom

---

Compound: Ta2MnRh
Source: Alexandria via LeMat-Bulk
Functional: GGA-PBE
Structure: optimized geometry

a b c (Å): 4.3599 4.3599 3.2431
angles (deg): 90.00 90.00 90.05
Last column: nearest neighbours and their distance in Å.
Positions (direct):
Mn: 0.5000 0.0000 0.5000  8 Ta 2.72
Rh: 0.0000 0.5000 0.5000  8 Ta 2.72
Ta: 0.0000 0.0000 0.0000  4 Mn 2.72, 4 Rh 2.72
Ta: 0.5000 0.5000 0.0000  4 Rh 2.72, 4 Mn 2.72

Properties
**DOS at the Fermi energy**: 4.1 states/eV per cell
**Uncorrected energy**: -10.268 eV per atom

---

Compound: TaMnRh
Source: Alexandria via LeMat-Bulk
Functional: GGA-PBE
Structure: optimized geometry

a b c (Å): 4.2632 4.2632 4.2632
angles (deg): 60.00 60.00 60.00
Last column: nearest neighbours and their distance in Å.
Positions (direct):
Mn: 0.5000 0.5000 0.5000  4 Rh 2.61
Rh: 0.7500 0.7500 0.7500  4 Mn 2.61, 4 Ta 2.61
Ta: 0.0000 0.0000 0.0000  4 Rh 2.61

Properties
**DOS at the Fermi energy**: 2.6 states/eV per cell
**Polymorph energy (0 for the lowest one)**: 453.1 meV per atom
**Uncorrected energy**: -9.248 eV per atom

---

Compound: Ta2Mn2Rh
Source: Alexandria via LeMat-Bulk
Functional: GGA-PBE
Structure: optimized geometry

a b c (Å): 6.8114 6.8114 3.1590
angles (deg): 90.00 90.00 90.00
Last column: nearest neighbours and their distance in Å.
Positions (direct):
Mn: 0.3923 0.8923 0.0000  1 Mn 2.08
Mn: 0.8923 0.6077 0.0000  1 Mn 2.08
Mn: 0.6077 0.1077 0.0000  1 Mn 2.08
Mn: 0.1077 0.3923 0.0000  1 Mn 2.08
Rh: 0.0000 0.0000 0.0000  4 Mn 2.77, 8 Ta 2.93
Rh: 0.5000 0.5000 0.0000  4 Mn 2.77, 8 Ta 2.93
Ta: 0.1939 0.6939 0.5000  6 Mn 2.48-2.66
Ta: 0.6939 0.8061 0.5000  6 Mn 2.48-2.66
Ta: 0.8061 0.3061 0.5000  6 Mn 2.48-2.66
Ta: 0.3061 0.1939 0.5000  6 Mn 2.48-2.66

Properties
**DOS at the Fermi energy**: 11.1 states/eV per cell
**Uncorrected energy**: -9.944 eV per atom

---

Compound: TaMn2Rh
Source: Alexandria via LeMat-Bulk
Functional: GGA-PBE
Structure: optimized geometry

a b c (Å): 4.7625 4.7625 4.7625
angles (deg): 133.02 133.08 68.57
Last column: nearest neighbours and their distance in Å.
Positions (direct):
Mn: 0.9999 0.9999 0.0000  4 Rh 2.68, 4 Mn 2.73-2.74, 4 Ta 2.73
Mn: 0.2502 0.7502 0.5000  4 Ta 2.68, 4 Mn 2.73-2.74, 4 Rh 2.73
Rh: 0.5000 0.5000 0.0000  8 Mn 2.68-2.73, 4 Ta 2.73
Ta: 0.7500 0.2500 0.5000  8 Mn 2.68-2.73, 4 Rh 2.73

Properties
**DOS at the Fermi energy**: 2.9 states/eV per cell
**Polymorph energy (0 for the lowest one)**: 0.0 meV per atom
**Uncorrected energy**: -9.548 eV per atom

---

Compound: TaMn2Rh
Source: Alexandria via LeMat-Bulk
Functional: GGA-PBE
Structure: optimized geometry

a b c (Å): 3.6807 3.6807 9.6914
angles (deg): 79.05 79.05 90.00
Last column: nearest neighbours and their distance in Å.
Positions (direct):
Mn: 0.6224 0.1250 0.2500  4 Mn 2.59-2.62, 2 Rh 2.67, 2 Ta 2.68
Mn: 0.1276 0.6250 0.2500  4 Mn 2.59-2.62, 2 Rh 2.67, 2 Ta 2.68
Mn: 0.3750 0.3776 0.7500  4 Mn 2.59-2.62, 2 Rh 2.67, 2 Ta 2.68
Mn: 0.8750 0.8724 0.7500  4 Mn 2.59-2.62, 2 Rh 2.67, 2 Ta 2.68
Rh: 0.5000 0.5000 0.0000  4 Ta 2.60, 4 Mn 2.67
Rh: 0.2500 0.7500 0.5000  4 Ta 2.60, 4 Mn 2.67
Ta: 0.0000 0.0000 0.0000  4 Rh 2.60, 4 Mn 2.68
Ta: 0.7500 0.2500 0.5000  4 Rh 2.60, 4 Mn 2.68

Properties
**DOS at the Fermi energy**: 5.7 states/eV per cell
**Polymorph energy (0 for the lowest one)**: 525.1 meV per atom
**Uncorrected energy**: -9.023 eV per atom

---

Compound: Ta2MnRh
Source: Alexandria via LeMat-Bulk
Functional: GGA-PBE
Structure: optimized geometry

a b c (Å): 4.4622 4.4622 4.4622
angles (deg): 60.00 60.00 60.00
Last column: nearest neighbours and their distance in Å.
Positions (direct):
Mn: 0.5000 0.5000 0.5000  4 Ta 2.73, 4 Rh 2.73
Rh: 0.7500 0.7500 0.7500  4 Ta 2.73, 4 Mn 2.73
Ta: 0.0000 0.0000 0.0000  4 Ta 2.73, 4 Rh 2.73
Ta: 0.2500 0.2500 0.2500  4 Ta 2.73, 4 Mn 2.73

Properties
**DOS at the Fermi energy**: 1.1 states/eV per cell
**Uncorrected energy**: -10.195 eV per atom

---

Compound: Ta2MnRh
Source: Alexandria via LeMat-Bulk
Functional: GGA-PBE
Structure: optimized geometry

a b c (Å): 3.8592 3.8592 9.7244
angles (deg): 78.55 78.55 90.00
Last column: nearest neighbours and their distance in Å.
Positions (direct):
Mn: 0.5000 0.5000 0.0000  4 Ta 2.70, 4 Rh 2.73
Mn: 0.2500 0.7500 0.5000  4 Ta 2.70, 4 Rh 2.73
Rh: 0.0000 0.0000 0.0000  4 Ta 2.71, 4 Mn 2.73
Rh: 0.7500 0.2500 0.5000  4 Ta 2.71, 4 Mn 2.73
Ta: 0.6213 0.1250 0.2500  2 Mn 2.70, 2 Rh 2.71, 4 Ta 2.71-2.75
Ta: 0.1287 0.6250 0.2500  2 Mn 2.70, 2 Rh 2.71, 4 Ta 2.71-2.75
Ta: 0.3750 0.3787 0.7500  2 Mn 2.70, 2 Rh 2.71, 4 Ta 2.71-2.75
Ta: 0.8750 0.8713 0.7500  2 Mn 2.70, 2 Rh 2.71, 4 Ta 2.71-2.75

Properties
**DOS at the Fermi energy**: 6.4 states/eV per cell
**Uncorrected energy**: -9.595 eV per atom

---

Compound: TaMn2Rh2
Source: Alexandria via LeMat-Bulk
Functional: GGA-PBE
Structure: optimized geometry

a b c (Å): 7.1231 7.1231 2.7188
angles (deg): 90.00 90.00 90.00
Last column: nearest neighbours and their distance in Å.
Positions (direct):
Mn: 0.3851 0.8851 0.0000  1 Mn 2.32, 6 Rh 2.48-2.54
Mn: 0.8851 0.6149 0.0000  1 Mn 2.32, 6 Rh 2.48-2.54
Mn: 0.6149 0.1149 0.0000  1 Mn 2.32, 6 Rh 2.48-2.54
Mn: 0.1149 0.3851 0.0000  1 Mn 2.32, 6 Rh 2.48-2.54
Rh: 0.1789 0.6789 0.5000  6 Mn 2.48-2.54, 2 Rh 2.72
Rh: 0.6789 0.8211 0.5000  6 Mn 2.48-2.54, 2 Rh 2.72
Rh: 0.8211 0.3211 0.5000  6 Mn 2.48-2.54, 2 Rh 2.72
Rh: 0.3211 0.1789 0.5000  6 Mn 2.48-2.54, 2 Rh 2.72
Ta: 0.0000 0.0000 0.0000  2 Ta 2.72, 4 Mn 2.86, 8 Rh 2.95
Ta: 0.5000 0.5000 0.0000  2 Ta 2.72, 4 Mn 2.86, 8 Rh 2.95

Properties
**DOS at the Fermi energy**: 10.9 states/eV per cell
**Uncorrected energy**: -9.008 eV per atom

---

Question: The lowest uncorrected energy belongs to which entry?
Answer: number 5

---

Question: Among the records above, which one has the highest DOS at the Fermi energy?
Answer: Ta2Mn2Rh